Entry 1:
Material: Tc2HgMo
Method: DFT, GGA-PBE
State: relaxed

It has space group I-42d (No. 122), with a = 7.2783 Å, b = 7.2783 Å, c = 5.5204 Å, α = 90.00°, β = 90.00° and γ = 90.00°. The asymmetric unit holds Tc at (0.2018, 0.2500, 0.1250), Hg at (0.0000, 0.0000, 0.5000) and Mo at (0.0000, 0.0000, 0.0000).

The calculation puts the volume at 18.28 A^3/atom. The value obtained for the total energy is -7.09 eV/atom. The formation energy from the elements comes out at 0.872 eV/atom. The total moment comes out at 0.0 μB per cell.

=====

Entry 2:
Material: TcHgMo
Method: DFT, GGA-PBE
State: relaxed

It has space group I4mm (No. 107), with a = 3.0539 Å, b = 3.0539 Å, c = 11.1954 Å, α = 90.00°, β = 90.00° and γ = 90.00°. The asymmetric unit holds Tc at (0.0000, 0.0000, 0.0000), Hg at (0.0000, 0.0000, 0.3160) and Mo at (0.0000, 0.0000, 0.6261).

The calculation puts the volume at 17.40 A^3/atom. The value obtained for the total energy is -6.81 eV/atom. The formation energy from the elements comes out at 0.354 eV/atom. The total moment comes out at 0.0 μB per cell. Its energy above the lowest structure with this stoichiometry is 0.000 eV per formula unit.

=====

Entry 3:
Material: TcHg2Mo
Method: DFT, GGA-PBE
State: relaxed

It has space group F-43m (No. 216), with a = 6.6048 Å, b = 6.6048 Å, c = 6.6048 Å, α = 90.00°, β = 90.00° and γ = 90.00°. The asymmetric unit holds Tc at (0.0000, 0.0000, 0.0000), Hg at (0.0000, 0.0000, 0.5000), Hg at (0.2500, 0.2500, 0.2500) and Mo at (0.2500, 0.2500, 0.7500).

The calculation puts the volume at 18.01 A^3/atom. The value obtained for the total energy is -4.66 eV/atom. The formation energy from the elements comes out at 0.791 eV/atom. The total moment comes out at 0.0 μB per cell. Its energy above the lowest structure with this stoichiometry is 1.920 eV per formula unit.

=====

Entry 4:
Material: Tc2HgMo
Method: DFT, GGA-PBE
State: relaxed

It has space group R3m (No. 160, hexagonal axes), with a = 2.8266 Å, b = 2.8266 Å, c = 28.4345 Å, α = 90.00°, β = 90.00° and γ = 120.00°. The asymmetric unit holds Tc at (0.0000, 0.0000, 0.0000), Tc at (0.0000, 0.0000, 0.2601), Hg at (0.0000, 0.0000, 0.5043) and Mo at (0.0000, 0.0000, 0.7474).

The calculation puts the volume at 16.40 A^3/atom. The value obtained for the total energy is -7.62 eV/atom. The formation energy from the elements comes out at 0.345 eV/atom. The total moment comes out at 0.0 μB per cell.

=====

Entry 5:
Material: Tc2HgMo
Method: DFT, GGA-PBE
State: relaxed

It has space group I-4m2 (No. 119), with a = 3.9479 Å, b = 3.9479 Å, c = 8.2489 Å, α = 90.00°, β = 90.00° and γ = 90.00°. The asymmetric unit holds Tc at (0.0000, 0.0000, 0.0000), Tc at (0.0000, 0.5000, 0.2500), Hg at (0.0000, 0.5000, 0.7500) and Mo at (0.0000, 0.0000, 0.5000).

The calculation puts the volume at 16.07 A^3/atom. The value obtained for the total energy is -7.47 eV/atom. The formation energy from the elements comes out at 0.499 eV/atom. The total moment comes out at 0.0 μB per cell.

=====

Entry 6:
Material: Tc2HgMo
Method: DFT, GGA-PBE
State: relaxed

It has space group P4/mmm (No. 123), with a = 4.0771 Å, b = 4.0771 Å, c = 3.8472 Å, α = 90.00°, β = 90.00° and γ = 90.00°. The asymmetric unit holds Tc at (0.0000, 0.5000, 0.0000), Hg at (0.0000, 0.0000, 0.5000) and Mo at (0.5000, 0.5000, 0.5000).

The calculation puts the volume at 15.99 A^3/atom. The value obtained for the total energy is -7.48 eV/atom. The formation energy from the elements comes out at 0.486 eV/atom. The total moment comes out at 0.0 μB per cell.

=====

Entry 7:
Material: TcHg3Mo
Method: DFT, GGA-PBE
State: relaxed

It has space group Pm-3m (No. 221), with a = 5.2522 Å, b = 5.2522 Å, c = 5.2522 Å, α = 90.00°, β = 90.00° and γ = 90.00°. The asymmetric unit holds Tc at (0.0000, 0.0000, 0.0000), Hg at (0.0000, 0.0000, 0.5000) and Mo at (0.5000, 0.5000, 0.5000).

The calculation puts the volume at 28.98 A^3/atom. The value obtained for the total energy is -2.91 eV/atom. The formation energy from the elements comes out at 1.515 eV/atom. The total moment comes out at 3.2 μB per cell. Its energy above the lowest structure with this stoichiometry is 0.000 eV per formula unit.

=====

Entry 8:
Material: TcHg2Mo
Method: DFT, GGA-PBE
State: relaxed

It has space group Fm-3m (No. 225), with a = 6.5545 Å, b = 6.5545 Å, c = 6.5545 Å, α = 90.00°, β = 90.00° and γ = 90.00°. The asymmetric unit holds Tc at (0.0000, 0.0000, 0.0000), Hg at (0.2500, 0.2500, 0.2500) and Mo at (0.0000, 0.0000, 0.5000).

The calculation puts the volume at 17.60 A^3/atom. The value obtained for the total energy is -4.62 eV/atom. The formation energy from the elements comes out at 0.835 eV/atom. The total moment comes out at 0.0 μB per cell. Its energy above the lowest structure with this stoichiometry is 2.094 eV per formula unit.

=====

> Number 2 is which compound?

TcHgMo